Entry 1:
VASP calculation (PBE-GGA) on a relaxed structure of RbGa4Au6.

Computed properties:
* N(E_F): 3.3 states/eV/f.u.
* magnetic moment: 0.000 μB per atom
* SG: P1

CIF file:
```
data_RbGa4Au6
_chemical_formula_sum 'Rb1 Ga4 Au6'
_cell_length_a 7.208
_cell_length_b 7.222
_cell_length_c 6.907
_cell_angle_alpha 57.99
_cell_angle_beta 58.04
_cell_angle_gamma 87.62
_symmetry_space_group_name_H-M 'P 1'
_symmetry_Int_Tables_number 1
loop_
_symmetry_equiv_pos_as_xyz
'x,y,z'
loop_
_atom_site_label
_atom_site_fract_x
_atom_site_fract_y
_atom_site_fract_z
_atom_site_occupancy
Ga1 0.863 0.862 0.680 1
Ga2 0.474 0.475 0.659 1
Ga3 0.514 0.125 0.342 1
Ga4 0.121 0.510 0.342 1
Au1 0.213 0.212 0.234 1
Au2 0.531 0.533 0.240 1
Au3 0.011 0.529 0.980 1
Au4 0.773 0.460 0.772 1
Au5 0.460 0.774 0.772 1
Au6 0.532 0.013 0.976 1
Rb1 0.008 0.007 0.004 1
```

Entry 2:
VASP calculation (PBE-GGA) on a relaxed structure of Rb2Ga4Au5.

Computed properties:
* N(E_F): 4.1 states/eV/f.u.
* magnetic moment: 0.000 μB per atom
* SG: C2/m

CIF file:
```
data_Rb2Ga4Au5
_chemical_formula_sum 'Rb2 Ga4 Au5'
_cell_length_a 6.003
_cell_length_b 7.383
_cell_length_c 7.511
_cell_angle_alpha 70.51
_cell_angle_beta 66.45
_cell_angle_gamma 66.01
_symmetry_space_group_name_H-M 'P 1'
_symmetry_Int_Tables_number 1
loop_
_symmetry_equiv_pos_as_xyz
'x,y,z'
loop_
_atom_site_label
_atom_site_fract_x
_atom_site_fract_y
_atom_site_fract_z
_atom_site_occupancy
Au1 0.809 0.753 0.150 1
Au2 0.712 0.247 0.850 1
Au3 0.000 0.500 0.500 1
Au4 0.288 0.753 0.150 1
Au5 0.191 0.247 0.850 1
Ga1 0.618 0.940 0.824 1
Ga2 0.776 0.560 0.887 1
Ga3 0.224 0.440 0.113 1
Ga4 0.382 0.060 0.176 1
Rb1 0.296 0.770 0.639 1
Rb2 0.704 0.230 0.361 1
```

Entry 3:
VASP calculation (PBE-GGA) on a relaxed structure of Rb3Ga4Au4.

Computed properties:
* N(E_F): 3.7 states/eV/f.u.
* magnetic moment: 0.000 μB per atom
* SG: I-43m

CIF file:
```
data_Rb3Ga4Au4
_chemical_formula_sum 'Rb3 Ga4 Au4'
_cell_length_a 7.276
_cell_length_b 7.276
_cell_length_c 7.276
_cell_angle_alpha 109.47
_cell_angle_beta 109.47
_cell_angle_gamma 109.47
_symmetry_space_group_name_H-M 'P 1'
_symmetry_Int_Tables_number 1
loop_
_symmetry_equiv_pos_as_xyz
'x,y,z'
loop_
_atom_site_label
_atom_site_fract_x
_atom_site_fract_y
_atom_site_fract_z
_atom_site_occupancy
Ga1 0.000 0.270 0.000 1
Ga2 0.730 0.730 0.730 1
Ga3 0.000 0.000 0.270 1
Ga4 0.270 0.000 0.000 1
Rb1 0.500 0.000 0.500 1
Rb2 0.000 0.500 0.500 1
Rb3 0.500 0.500 0.000 1
Au1 0.634 0.000 0.000 1
Au2 0.366 0.366 0.366 1
Au3 0.000 0.634 0.000 1
Au4 0.000 0.000 0.634 1
```

Entry 4:
VASP calculation (PBE-GGA) on a relaxed structure of RbGa3Au.

Computed properties:
* N(E_F): 9.0 states/eV/f.u.
* magnetic moment: 0.000 μB per atom
* SG: Pm-3m

CIF file:
```
data_RbGa3Au
_chemical_formula_sum 'Rb1 Ga3 Au1'
_cell_length_a 6.007
_cell_length_b 6.007
_cell_length_c 6.007
_cell_angle_alpha 90.00
_cell_angle_beta 90.00
_cell_angle_gamma 90.00
_symmetry_space_group_name_H-M 'P 1'
_symmetry_Int_Tables_number 1
loop_
_symmetry_equiv_pos_as_xyz
'x,y,z'
loop_
_atom_site_label
_atom_site_fract_x
_atom_site_fract_y
_atom_site_fract_z
_atom_site_occupancy
Ga1 0.500 0.000 0.000 1
Ga2 0.000 0.000 0.500 1
Ga3 0.000 0.500 0.000 1
Au1 0.500 0.500 0.500 1
Rb1 0.000 0.000 0.000 1
```

Entry 5:
VASP calculation (PBE-GGA) on a relaxed structure of RbGaAu2.

Computed properties:
* N(E_F): 2.5 states/eV/f.u.
* magnetic moment: 0.000 μB per atom
* SG: R-3m

CIF file:
```
data_RbGaAu2
_chemical_formula_sum 'Rb1 Ga1 Au2'
_cell_length_a 4.660
_cell_length_b 4.660
_cell_length_c 6.768
_cell_angle_alpha 69.86
_cell_angle_beta 69.86
_cell_angle_gamma 60.00
_symmetry_space_group_name_H-M 'P 1'
_symmetry_Int_Tables_number 1
loop_
_symmetry_equiv_pos_as_xyz
'x,y,z'
loop_
_atom_site_label
_atom_site_fract_x
_atom_site_fract_y
_atom_site_fract_z
_atom_site_occupancy
Au1 0.188 0.188 0.436 1
Au2 0.812 0.812 0.564 1
Ga1 0.500 0.500 0.500 1
Rb1 0.000 0.000 0.000 1
```

Entry 6:
VASP calculation (PBE-GGA) on a relaxed structure of RbGa2Au9.

Computed properties:
* N(E_F): 5.7 states/eV/f.u.
* magnetic moment: 0.000 μB per atom
* SG: P6/mmm

CIF file:
```
data_RbGa2Au9
_chemical_formula_sum 'Rb1 Ga2 Au9'
_cell_length_a 3.685
_cell_length_b 8.794
_cell_length_c 8.794
_cell_angle_alpha 120.00
_cell_angle_beta 90.00
_cell_angle_gamma 90.00
_symmetry_space_group_name_H-M 'P 1'
_symmetry_Int_Tables_number 1
loop_
_symmetry_equiv_pos_as_xyz
'x,y,z'
loop_
_atom_site_label
_atom_site_fract_x
_atom_site_fract_y
_atom_site_fract_z
_atom_site_occupancy
Au1 0.500 0.392 0.196 1
Au2 0.000 0.000 0.500 1
Au3 0.500 0.804 0.196 1
Au4 0.500 0.196 0.392 1
Au5 0.500 0.804 0.608 1
Au6 0.500 0.608 0.804 1
Au7 0.000 0.500 0.500 1
Au8 0.000 0.500 0.000 1
Au9 0.500 0.196 0.804 1
Ga1 0.000 0.333 0.667 1
Ga2 0.000 0.667 0.333 1
Rb1 0.000 0.000 0.000 1
```

Entry 7:
VASP calculation (PBE-GGA) on a relaxed structure of Rb4Ga2Au3.

Computed properties:
* N(E_F): 5.0 states/eV/f.u.
* magnetic moment: 0.017 μB per atom
* SG: C2/m

CIF file:
```
data_Rb4Ga2Au3
_chemical_formula_sum 'Rb4 Ga2 Au3'
_cell_length_a 4.134
_cell_length_b 8.545
_cell_length_c 9.986
_cell_angle_alpha 108.20
_cell_angle_beta 101.95
_cell_angle_gamma 90.00
_symmetry_space_group_name_H-M 'P 1'
_symmetry_Int_Tables_number 1
loop_
_symmetry_equiv_pos_as_xyz
'x,y,z'
loop_
_atom_site_label
_atom_site_fract_x
_atom_site_fract_y
_atom_site_fract_z
_atom_site_occupancy
Au1 0.100 0.283 0.199 1
Au2 0.000 0.500 0.000 1
Au3 0.900 0.717 0.801 1
Ga1 0.585 0.465 0.170 1
Ga2 0.415 0.535 0.830 1
Rb1 0.570 0.892 0.140 1
Rb2 0.430 0.108 0.860 1
Rb3 0.245 0.703 0.490 1
Rb4 0.755 0.297 0.510 1
```

Entry 8:
VASP calculation (PBE-GGA) on a relaxed structure of Rb3Ga6Au5.

Computed properties:
* N(E_F): 4.3 states/eV/f.u.
* magnetic moment: 0.000 μB per atom
* SG: Pmmn

CIF file:
```
data_Rb3Ga6Au5
_chemical_formula_sum 'Rb6 Ga12 Au10'
_cell_length_a 4.532
_cell_length_b 13.212
_cell_length_c 13.192
_cell_angle_alpha 90.00
_cell_angle_beta 90.00
_cell_angle_gamma 90.00
_symmetry_space_group_name_H-M 'P 1'
_symmetry_Int_Tables_number 1
loop_
_symmetry_equiv_pos_as_xyz
'x,y,z'
loop_
_atom_site_label
_atom_site_fract_x
_atom_site_fract_y
_atom_site_fract_z
_atom_site_occupancy
Ga1 0.000 0.010 0.831 1
Ga2 0.000 0.996 0.500 1
Ga3 0.500 0.990 0.331 1
Ga4 0.500 0.442 0.198 1
Ga5 0.000 0.558 0.698 1
Ga6 0.500 0.004 0.000 1
Ga7 0.500 0.515 0.000 1
Ga8 0.500 0.990 0.669 1
Ga9 0.500 0.442 0.802 1
Ga10 0.000 0.485 0.500 1
Ga11 0.000 0.558 0.302 1
Ga12 0.000 0.010 0.169 1
Au1 0.000 0.510 0.110 1
Au2 0.000 0.907 0.000 1
Au3 0.500 0.108 0.170 1
Au4 0.000 0.510 0.890 1
Au5 0.000 0.892 0.670 1
Au6 0.500 0.490 0.390 1
Au7 0.500 0.093 0.500 1
Au8 0.500 0.490 0.610 1
Au9 0.500 0.108 0.830 1
Au10 0.000 0.892 0.330 1
Rb1 0.000 0.251 0.337 1
Rb2 0.000 0.251 0.663 1
Rb3 0.500 0.749 0.163 1
Rb4 0.500 0.744 0.500 1
Rb5 0.000 0.256 0.000 1
Rb6 0.500 0.749 0.837 1
```

Entry 9:
VASP calculation (PBE-GGA) on a relaxed structure of RbGa5Au6.

Computed properties:
* N(E_F): 4.1 states/eV/f.u.
* magnetic moment: 0.000 μB per atom
* SG: C2/m

CIF file:
```
data_RbGa5Au6
_chemical_formula_sum 'Rb1 Ga5 Au6'
_cell_length_a 6.213
_cell_length_b 6.721
_cell_length_c 7.339
_cell_angle_alpha 80.93
_cell_angle_beta 70.05
_cell_angle_gamma 62.47
_symmetry_space_group_name_H-M 'P 1'
_symmetry_Int_Tables_number 1
loop_
_symmetry_equiv_pos_as_xyz
'x,y,z'
loop_
_atom_site_label
_atom_site_fract_x
_atom_site_fract_y
_atom_site_fract_z
_atom_site_occupancy
Ga1 0.613 0.774 0.500 1
Ga2 0.305 0.390 0.000 1
Ga3 0.000 0.000 0.500 1
Ga4 0.387 0.226 0.500 1
Ga5 0.695 0.610 0.000 1
Au1 0.319 0.588 0.292 1
Au2 0.907 0.412 0.292 1
Au3 0.681 0.412 0.708 1
Au4 0.589 0.000 0.786 1
Au5 0.093 0.588 0.708 1
Au6 0.411 0.000 0.214 1
Rb1 0.000 0.000 0.000 1
```

Entry 10:
VASP calculation (PBE-GGA) on a relaxed structure of RbGa2Au5.

Computed properties:
* N(E_F): 3.6 states/eV/f.u.
* magnetic moment: 0.000 μB per atom
* SG: Immm

CIF file:
```
data_RbGa2Au5
_chemical_formula_sum 'Rb1 Ga2 Au5'
_cell_length_a 4.440
_cell_length_b 6.904
_cell_length_c 6.904
_cell_angle_alpha 64.00
_cell_angle_beta 71.24
_cell_angle_gamma 71.24
_symmetry_space_group_name_H-M 'P 1'
_symmetry_Int_Tables_number 1
loop_
_symmetry_equiv_pos_as_xyz
'x,y,z'
loop_
_atom_site_label
_atom_site_fract_x
_atom_site_fract_y
_atom_site_fract_z
_atom_site_occupancy
Ga1 0.758 0.742 0.742 1
Ga2 0.242 0.258 0.258 1
Au1 0.000 0.500 0.500 1
Au2 0.646 0.162 0.546 1
Au3 0.646 0.546 0.162 1
Au4 0.354 0.454 0.838 1
Au5 0.354 0.838 0.454 1
Rb1 0.000 0.000 0.000 1
```

Entry 11:
VASP calculation (PBE-GGA) on a relaxed structure of Rb2Ga5Au3.

Computed properties:
* N(E_F): 4.7 states/eV/f.u.
* magnetic moment: 0.000 μB per atom
* SG: C2/c

CIF file:
```
data_Rb2Ga5Au3
_chemical_formula_sum 'Rb4 Ga10 Au6'
_cell_length_a 6.721
_cell_length_b 9.168
_cell_length_c 9.168
_cell_angle_alpha 72.72
_cell_angle_beta 111.31
_cell_angle_gamma 111.31
_symmetry_space_group_name_H-M 'P 1'
_symmetry_Int_Tables_number 1
loop_
_symmetry_equiv_pos_as_xyz
'x,y,z'
loop_
_atom_site_label
_atom_site_fract_x
_atom_site_fract_y
_atom_site_fract_z
_atom_site_occupancy
Ga1 0.124 0.999 0.251 1
Ga2 0.750 0.502 0.498 1
Ga3 0.624 0.251 0.999 1
Ga4 0.999 0.251 0.249 1
Ga5 0.250 0.498 0.502 1
Ga6 0.876 0.001 0.749 1
Ga7 0.376 0.749 0.001 1
Ga8 0.501 0.751 0.749 1
Ga9 0.001 0.749 0.751 1
Ga10 0.499 0.249 0.251 1
Au1 0.250 0.000 0.000 1
Au2 0.375 0.498 0.254 1
Au3 0.750 0.000 0.000 1
Au4 0.125 0.746 0.502 1
Au5 0.875 0.254 0.498 1
Au6 0.625 0.502 0.746 1
Rb1 0.375 0.125 0.626 1
Rb2 0.875 0.626 0.125 1
Rb3 0.625 0.875 0.374 1
Rb4 0.125 0.374 0.875 1
```

Entry 12:
VASP calculation (PBE-GGA) on a relaxed structure of Rb3Ga4Au7.

Computed properties:
* N(E_F): 5.6 states/eV/f.u.
* magnetic moment: 0.000 μB per atom
* SG: C2/m

CIF file:
```
data_Rb3Ga4Au7
_chemical_formula_sum 'Rb3 Ga4 Au7'
_cell_length_a 4.596
_cell_length_b 12.084
_cell_length_c 9.433
_cell_angle_alpha 59.90
_cell_angle_beta 75.90
_cell_angle_gamma 79.04
_symmetry_space_group_name_H-M 'P 1'
_symmetry_Int_Tables_number 1
loop_
_symmetry_equiv_pos_as_xyz
'x,y,z'
loop_
_atom_site_label
_atom_site_fract_x
_atom_site_fract_y
_atom_site_fract_z
_atom_site_occupancy
Rb1 0.686 0.808 0.821 1
Rb2 0.000 0.500 0.500 1
Rb3 0.314 0.192 0.179 1
Ga1 0.100 0.144 0.656 1
Ga2 0.900 0.856 0.344 1
Ga3 0.661 0.460 0.218 1
Ga4 0.339 0.540 0.782 1
Au1 0.538 0.101 0.824 1
Au2 0.630 0.254 0.485 1
Au3 0.370 0.746 0.515 1
Au4 0.803 0.480 0.913 1
Au5 0.462 0.899 0.176 1
Au6 0.197 0.520 0.087 1
Au7 0.000 0.000 0.000 1
```

no.,energy of formation from the pure elements (eV/atom)
1,-0.180
2,-0.166
3,-0.287
4,1.305
5,-0.264
6,-0.039
7,-0.189
8,-0.238
9,-0.168
10,-0.178
11,-0.221
12,-0.190